DFT (PBEsol) results for crystalline HfMgPt3 at its relaxed geometry.

abc: 4.508 4.508 4.508
angles: 90.00 90.00 90.00
Fractional coordinates of all 5 atoms:
Pt1 0.000 0.000 0.500
Pt2 0.500 0.000 0.000
Pt3 0.000 0.500 0.000
Mg1 0.000 0.000 0.000
Hf1 0.500 0.500 0.500

Results
D(E_F): 3.65 states/eV per cell
energy of formation: 381.1 meV/atom
SG: Pm-3m
size of the total moment: 0.0 μB per formula unit